1.
{"formula": "V2ZnCdPb", "functional": "PBE-GGA", "state": "optimized geometry", "cell": [[5.319, 0.000, 0.000], [0.000, 5.517, 0.000], [0.000, 0.000, 5.319]], "species": ["Pb", "Cd", "V", "V", "Zn"], "fractional_positions": [[0.000, 0.000, 0.000], [0.000, 0.500, 0.000], [0.500, 0.000, 0.000], [0.000, 0.000, 0.500], [0.500, 0.500, 0.500]], "dos_ef_per_ev_fu": 6.15, "crystal_system": "tetragonal", "total_energy_ev_per_atom": -3.43}



2.
{"formula": "CdPbW2", "functional": "PBE-GGA", "state": "optimized geometry", "cell": [[-2.111, 0.371, 1.984], [2.561, -0.393, 1.348], [1.530, 9.475, -0.143]], "species": ["Pb", "W", "W", "Cd"], "fractional_positions": [[0.500, 0.500, 0.750], [0.000, 0.000, 0.002], [0.000, 0.000, 0.498], [0.500, 0.500, 0.250]], "dos_ef_per_ev_fu": 2.48, "crystal_system": "orthorhombic", "relative_energy_mev_per_atom": 532}



3.
{"formula": "CdPbW3", "functional": "PBE-GGA", "state": "optimized geometry", "cell": [[-0.676, -3.664, -3.206], [3.841, 1.587, -2.623], [2.990, -2.866, 2.645]], "species": ["W", "W", "W", "Cd", "Pb"], "fractional_positions": [[0.000, 0.500, 0.000], [0.000, 0.000, 0.500], [0.500, 0.000, 0.000], [0.000, 0.000, 0.000], [0.500, 0.500, 0.500]], "dos_ef_per_ev_fu": 7.27, "crystal_system": "cubic", "relative_energy_mev_per_atom": 0}



4.
{"formula": "Cd4PbW", "functional": "PBE-GGA", "state": "optimized geometry", "cell": [[1.204, -5.177, 2.234], [2.821, -0.391, 5.012], [-2.759, -1.812, 4.727]], "species": ["Cd", "Cd", "Cd", "Cd", "Pb", "W"], "fractional_positions": [[0.374, 0.877, 0.374], [0.374, 0.374, 0.877], [0.374, 0.374, 0.374], [0.877, 0.374, 0.374], [0.750, 0.750, 0.750], [0.000, 0.000, 0.000]], "dos_ef_per_ev_fu": 3.38, "crystal_system": "cubic", "total_energy_ev_per_atom": -2.67}